The following is a GGA-PBE calculation of a relaxed InCoAu2 crystal, from Alexandria.

As for the space group: No. 139. The calculation puts the formation enthalpy at 0 K at 46.5 kJ/mol of formula units.

Cell and atoms, written as POSCAR:
```
InCoAu2
1.0
-2.098 2.098 3.892
2.098 -2.098 3.892
2.098 2.098 -3.892
In Co Au
1 1 2
Cartesian
0.000 0.000 0.000
0.000 0.000 3.892
2.098 0.000 1.946
0.000 2.098 1.946
```



The following is a GGA-PBE calculation of a relaxed Ca2FeCl crystal, from Alexandria.

As for the energy relative to the elements, uncorrected: -0.155 eV per atom. As for the space group: No. 71.

Cell and atoms, written as POSCAR:
```
Ca2FeCl
1.0
-1.875 3.267 4.606
1.875 -3.267 4.606
1.875 3.267 -4.606
Ca Fe Cl
2 1 1
Cartesian
0.000 0.000 2.069
0.000 0.000 7.142
0.000 3.267 0.000
1.875 0.000 0.000
```



The following is a GGA-PBE calculation of a relaxed CdCuBPd2 crystal, from Alexandria.

As for the space group: No. 123. The calculation puts the formation enthalpy at 0 K at -73.1 kJ/mol of formula units.

Cell and atoms, written as POSCAR:
```
CdCuBPd2
1.0
4.217 0.000 0.000
0.000 4.217 0.000
0.000 0.000 4.067
Cd Cu B Pd
1 1 1 2
Cartesian
0.000 0.000 0.000
2.109 2.109 0.000
2.109 2.109 2.033
0.000 2.109 2.033
2.109 0.000 2.033
```



The following is a GGA-PBE calculation of a relaxed Nd5YZn6 crystal, from Alexandria.

As for the space group: No. 65. The calculation puts the formation enthalpy at 0 K at -362.3 kJ/mol of formula units.

Cell and atoms, written as POSCAR:
```
Nd5YZn6
1.0
2.587 -7.793 0.000
2.587 7.793 0.000
0.000 0.000 7.342
Nd Y Zn
5 1 6
Cartesian
0.000 0.000 0.000
2.587 2.622 0.000
2.587 2.586 3.671
2.587 -2.586 3.671
2.587 -2.622 0.000
0.000 0.000 3.671
2.587 5.245 1.864
2.587 5.245 5.478
2.587 0.000 1.889
2.587 0.000 5.453
2.587 -5.245 1.864
2.587 -5.245 5.478
```



The following is a GGA-PBE calculation of a relaxed HgMo2Ru crystal, from Alexandria.

As for the space group: No. 123. The calculation puts the formation enthalpy at 0 K at 111.9 kJ/mol of formula units.

Cell and atoms, written as POSCAR:
```
HgMo2Ru
1.0
2.839 0.000 0.000
0.000 2.839 0.000
0.000 0.000 8.169
Hg Mo Ru
1 2 1
Cartesian
0.000 0.000 0.000
1.420 1.420 2.268
1.420 1.420 5.901
0.000 0.000 4.085
```



The following is a GGA-PBE calculation of a relaxed LiDyCd crystal, from Alexandria.

As for the space group: No. 47. The calculation puts the formation enthalpy at 0 K at 17.1 kJ/mol of formula units.

Cell and atoms, written as POSCAR:
```
LiDyCd
1.0
3.365 0.000 0.000
0.000 4.217 0.000
0.000 0.000 5.483
Li Dy Cd
1 1 1
Cartesian
0.000 0.000 0.000
0.000 2.109 2.742
1.683 2.109 0.000
```



The following is a GGA-PBE calculation of a relaxed BaMgAg3 crystal, from Alexandria.

As for the space group: No. 221. The calculation puts the formation enthalpy at 0 K at -7.6 kJ/mol of formula units.

Cell and atoms, written as POSCAR:
```
BaMgAg3
1.0
5.230 0.000 0.000
0.000 5.230 0.000
0.000 0.000 5.230
Ba Mg Ag
1 1 3
Cartesian
0.000 0.000 0.000
2.615 2.615 2.615
0.000 2.615 2.615
2.615 0.000 2.615
2.615 2.615 0.000
```



The following is a GGA-PBE calculation of a relaxed ReBiOsRu2 crystal, from Alexandria.

As for the space group: No. 123. The calculation puts the formation enthalpy at 0 K at 1067.3 kJ/mol of formula units.

Cell and atoms, written as POSCAR:
```
ReBiOsRu2
1.0
4.670 0.000 0.000
0.000 4.670 0.000
0.000 0.000 5.113
Re Bi Os Ru
1 1 1 2
Cartesian
0.000 0.000 0.000
2.335 2.335 0.000
2.335 2.335 2.556
0.000 2.335 2.556
2.335 0.000 2.556
```



The following is a GGA-PBE calculation of a relaxed Ac2LaSb crystal, from Alexandria.

As for the energy relative to the elements, uncorrected: -0.223 eV per atom. As for the space group: No. 225.

Cell and atoms, written as POSCAR:
```
Ac2LaSb
1.0
0.000 4.171 4.171
4.171 0.000 4.171
4.171 4.171 0.000
Ac La Sb
2 1 1
Cartesian
2.086 2.086 2.086
6.257 6.257 6.257
0.000 0.000 0.000
4.171 4.171 4.171
```



The following is a GGA-PBE calculation of a relaxed Mg2TcNi2 crystal, from Alexandria.

As for the space group: No. 139. The calculation puts the formation enthalpy at 0 K at 281.9 kJ/mol of formula units.

Cell and atoms, written as POSCAR:
```
Mg2TcNi2
1.0
-1.822 1.822 5.699
1.822 -1.822 5.699
1.822 1.822 -5.699
Mg Tc Ni
2 1 2
Cartesian
1.822 0.000 2.849
0.000 1.822 2.849
0.000 0.000 0.000
0.000 0.000 4.613
0.000 0.000 6.784
```



The following is a GGA-PBE calculation of a relaxed YHfPS2 crystal, from Alexandria.

As for the energy relative to the elements, uncorrected: 0.632 eV per atom. As for the space group: No. 123.

Cell and atoms, written as POSCAR:
```
YHfPS2
1.0
4.900 0.000 0.000
0.000 4.900 0.000
0.000 0.000 6.542
Y Hf P S
1 1 1 2
Cartesian
0.000 0.000 0.000
0.000 0.000 3.271
2.450 2.450 3.271
0.000 2.450 0.000
2.450 0.000 0.000
```



The following is a GGA-PBE calculation of a relaxed Cs2ZrAuS4 crystal, from Alexandria.

As for the energy relative to the elements, uncorrected: -1.029 eV per atom. As for the space group: No. 70.

Cell and atoms, written as POSCAR:
```
Cs2ZrAuS4
1.0
0.000 7.226 12.861
3.045 0.000 12.861
3.045 7.226 0.000
Cs Zr Au S
4 2 2 8
Cartesian
2.284 5.420 1.359
3.807 9.033 7.789
2.284 5.420 17.932
3.807 9.033 24.362
0.761 1.807 3.215
5.329 12.646 22.506
2.284 5.420 9.645
3.807 9.033 16.076
2.207 3.201 4.567
3.883 6.814 10.997
2.361 7.638 4.567
2.361 3.201 14.724
3.730 11.252 10.997
3.730 6.814 21.154
2.207 7.638 14.724
3.883 11.252 21.154
```



The following is a GGA-PBE calculation of a relaxed Sc2Al3Pt4 crystal, from Alexandria.

As for the space group: No. 64. The calculation puts the formation enthalpy at 0 K at -990.6 kJ/mol of formula units.

Cell and atoms, written as POSCAR:
```
Sc2Al3Pt4
1.0
2.734 -7.418 0.000
2.734 7.418 0.000
0.000 0.000 7.470
Sc Al Pt
4 6 8
Cartesian
2.734 5.908 6.762
2.734 1.511 3.027
2.734 -1.511 4.443
2.734 -5.908 0.708
0.000 0.000 3.735
1.367 3.443 5.602
1.367 -3.443 1.867
2.734 0.000 0.000
4.100 3.443 5.602
4.100 -3.443 1.867
2.734 4.758 3.943
1.367 0.893 5.602
1.367 -0.893 1.867
2.734 2.660 0.208
2.734 -2.660 7.261
4.100 0.893 5.602
4.100 -0.893 1.867
2.734 -4.758 3.526
```



The following is a GGA-PBE calculation of a relaxed RbZnSn crystal, from Alexandria.

As for the space group: No. 2. The calculation puts the formation enthalpy at 0 K at -23.5 kJ/mol of formula units.

Cell and atoms, written as POSCAR:
```
RbZnSn
1.0
4.871 0.000 0.000
-2.428 6.865 0.000
-1.080 -2.689 6.759
Rb Zn Sn
2 2 2
Cartesian
-0.679 0.423 1.985
2.042 3.753 4.773
-0.448 0.904 5.571
1.811 3.272 1.187
-0.621 4.344 1.232
1.984 -0.168 5.527
```



The following is a GGA-PBE calculation of a relaxed LaNd3Dy4 crystal, from Alexandria.

As for the space group: No. 31. The calculation puts the formation enthalpy at 0 K at 24.0 kJ/mol of formula units.

Cell and atoms, written as POSCAR:
```
LaNd3Dy4
1.0
11.658 0.000 0.000
0.000 7.348 0.000
0.000 0.000 6.335
La Nd Dy
2 6 8
Cartesian
0.000 0.925 0.000
5.829 6.423 3.167
0.000 6.405 3.176
2.908 0.946 2.130
2.921 6.402 5.297
5.829 0.944 0.008
8.737 6.402 5.297
8.750 0.946 2.130
0.000 2.792 3.179
0.000 4.565 0.015
2.907 4.566 2.121
2.922 2.783 5.289
5.829 2.783 3.182
5.829 4.557 0.012
8.736 2.783 5.289
8.751 4.566 2.121
```



The following is a GGA-PBE calculation of a relaxed HfSnCl2 crystal, from Alexandria.

As for the energy relative to the elements, uncorrected: -0.577 eV per atom. As for the space group: No. 166.

Cell and atoms, written as POSCAR:
```
HfSnCl2
1.0
1.703 0.983 10.022
-1.703 0.983 10.022
0.000 -1.967 10.022
Hf Sn Cl
1 1 2
Cartesian
0.000 0.000 0.000
0.000 0.000 15.033
0.000 0.000 2.399
0.000 0.000 27.666
```



The following is a GGA-PBE calculation of a relaxed DyMgPtRh crystal, from Alexandria.

As for the space group: No. 216. The calculation puts the formation enthalpy at 0 K at -335.2 kJ/mol of formula units.

Cell and atoms, written as POSCAR:
```
DyMgPtRh
1.0
0.000 3.319 3.319
3.319 0.000 3.319
3.319 3.319 0.000
Dy Mg Pt Rh
1 1 1 1
Cartesian
0.000 0.000 0.000
3.319 3.319 3.319
4.978 4.978 4.978
1.659 1.659 1.659
```



The following is a GGA-PBE calculation of a relaxed Ho8Al2Ru crystal, from Alexandria.

As for the space group: No. 12. The calculation puts the formation enthalpy at 0 K at -248.2 kJ/mol of formula units.

Cell and atoms, written as POSCAR:
```
Ho8Al2Ru
1.0
8.657 -2.616 0.000
8.657 2.616 0.000
-2.547 0.000 6.380
Ho Al Ru
8 2 1
Cartesian
-0.456 0.000 1.772
1.474 0.000 4.920
4.630 0.000 3.610
6.748 0.000 0.514
8.018 0.000 5.865
10.136 0.000 2.770
13.292 0.000 1.459
15.222 0.000 4.608
2.620 0.000 1.235
12.147 0.000 5.145
7.383 0.000 3.190
```



The following is a GGA-PBE calculation of a relaxed ScAlGaAg crystal, from Alexandria.

As for the space group: No. 216. The calculation puts the formation enthalpy at 0 K at -113.2 kJ/mol of formula units.

Cell and atoms, written as POSCAR:
```
ScAlGaAg
1.0
0.000 3.301 3.301
3.301 0.000 3.301
3.301 3.301 0.000
Sc Al Ga Ag
1 1 1 1
Cartesian
0.000 0.000 0.000
3.301 3.301 3.301
4.951 4.951 4.951
1.650 1.650 1.650
```



The following is a GGA-PBE calculation of a relaxed LaMg2CuAu2 crystal, from Alexandria.

As for the space group: No. 139. The calculation puts the formation enthalpy at 0 K at 15.4 kJ/mol of formula units.

Cell and atoms, written as POSCAR:
```
LaMg2CuAu2
1.0
-2.208 2.208 8.933
2.208 -2.208 8.933
2.208 2.208 -8.933
La Mg Cu Au
1 2 1 2
Cartesian
0.000 0.000 0.000
2.208 0.000 4.466
0.000 2.208 4.466
0.000 0.000 8.933
0.000 0.000 2.943
0.000 0.000 14.922
```



Number 1: ρ 13.8 g cm⁻³. Number 2: ρ 2.5 g cm⁻³. Number 3: ρ 9.2 g cm⁻³. Number 4: ρ 6.7 g cm⁻³. Number 5: ρ 12.4 g cm⁻³. Number 6: ρ 6.0 g cm⁻³. Number 7: ρ 5.6 g cm⁻³. Number 8: ρ 11.7 g cm⁻³. Number 9: ρ 8.2 g cm⁻³. Number 10: ρ 5.8 g cm⁻³. Number 11: ρ 3.8 g cm⁻³. Number 12: ρ 4.0 g cm⁻³. Number 13: ρ 10.4 g cm⁻³. Number 14: ρ 4.0 g cm⁻³. Number 15: ρ 7.5 g cm⁻³. Number 16: ρ 6.1 g cm⁻³. Number 17: ρ 11.0 g cm⁻³. Number 18: ρ 8.5 g cm⁻³. Number 19: ρ 5.8 g cm⁻³. Number 20: ρ 6.1 g cm⁻³.